This record from the Alexandria database describes an optimized crystal structure of LiPaPbAu. The functional is GGA-PBE. Values from VASP.

Output
- E (eV/atom) = -4.77
- spin magnetization (μB/atom) = 0.20
- DFT formation energy (meV/atom) = -168

Structure (Quantum ESPRESSO input):
```
&SYSTEM
  ibrav = 0, nat = 4, ntyp = 4
/
ATOMIC_SPECIES
Pb 207.20 Pb.upf
Pa 231.04 Pa.upf
Li 6.94 Li.upf
Au 196.97 Au.upf
ATOMIC_POSITIONS crystal
Pb 0.000 0.000 0.000
Pa 0.750 0.750 0.750
Li 0.250 0.250 0.250
Au 0.500 0.500 0.500
CELL_PARAMETERS angstrom
-2.407 0.858 4.392
-0.433 -3.724 3.429
2.635 0.223 4.339
```



This record from the Alexandria database describes an optimized crystal structure of LiPaPd6Au2. The functional is GGA-PBE. Values from VASP.

Output
- E (eV/atom) = -5.32
- spin magnetization (μB/atom) = 0.00
- DFT formation energy (meV/atom) = -407

Structure (Quantum ESPRESSO input):
```
&SYSTEM
  ibrav = 0, nat = 20, ntyp = 4
/
ATOMIC_SPECIES
Au 196.97 Au.upf
Li 6.94 Li.upf
Pd 106.42 Pd.upf
Pa 231.04 Pa.upf
ATOMIC_POSITIONS crystal
Au 0.951 0.836 0.323
Au 0.451 0.664 0.823
Au 0.549 0.336 0.177
Au 0.049 0.164 0.677
Li 0.500 0.000 0.000
Li 0.000 0.500 0.500
Pd 0.355 0.382 0.545
Pd 0.645 0.618 0.455
Pd 0.796 0.213 0.422
Pd 0.704 0.713 0.078
Pd 0.855 0.118 0.045
Pd 0.296 0.287 0.922
Pd 0.783 0.876 0.715
Pd 0.717 0.376 0.785
Pd 0.204 0.787 0.578
Pd 0.283 0.624 0.215
Pd 0.145 0.882 0.955
Pd 0.217 0.124 0.285
Pa 0.000 0.500 0.000
Pa 0.500 0.000 0.500
CELL_PARAMETERS angstrom
-0.057 6.869 2.842
2.111 -2.375 5.783
6.688 1.778 -1.711
```



This record from the Alexandria database describes an optimized crystal structure of LiPaRhAu. The functional is GGA-PBE. Values from VASP.

Output
- E (eV/atom) = -5.89
- spin magnetization (μB/atom) = 0.00
- DFT formation energy (meV/atom) = -382

Structure (Quantum ESPRESSO input):
```
&SYSTEM
  ibrav = 0, nat = 4, ntyp = 4
/
ATOMIC_SPECIES
Pa 231.04 Pa.upf
Rh 102.91 Rh.upf
Li 6.94 Li.upf
Au 196.97 Au.upf
ATOMIC_POSITIONS crystal
Pa 0.750 0.750 0.750
Rh 0.500 0.500 0.500
Li 0.250 0.250 0.250
Au 0.000 0.000 0.000
CELL_PARAMETERS angstrom
4.766 0.000 0.000
2.383 4.128 0.000
2.383 1.376 3.892
```